No. 1
An optimized crystal structure of Ac4AsN2. Source: Alexandria via LeMat-Bulk, functional PBE.

The structure belongs to space group I-4 (No. 82); the cell edges are 10.2338, 10.2338 and 8.1027 Å and the angles 90.00°, 90.00° and 90.00°. The asymmetric unit holds Ac at (0.0542, 0.2094, 0.3582), Ac at (0.0568, 0.2906, 0.8891), As at (0.0000, 0.0000, 0.0000), As at (0.0000, 0.5000, 0.2500) and N at (0.0522, 0.7524, 0.6246).

The value obtained for the calculated total energy is -6.327 eV/atom. The value obtained for the uncorrected formation energy is -6.6 eV per formula unit. Its density of states at the Fermi level is 17.19 states/eV/cell.

---

No. 2
An optimized crystal structure of Th4Pd2O. Source: Alexandria via LeMat-Bulk, functional PBE.

The structure belongs to space group I4/mmm (No. 139); the cell edges are 4.8655, 4.8655 and 14.9104 Å and the angles 90.00°, 90.00° and 90.00°. The asymmetric unit holds Th at (0.0000, 0.0000, 0.1866), Th at (0.0000, 0.5000, 0.0000), Pd at (0.0000, 0.0000, 0.3674) and O at (0.0000, 0.0000, 0.0000).

The value obtained for the calculated total energy is -7.437 eV/atom. The value obtained for the uncorrected formation energy is -7.0 eV per formula unit. Its density of states at the Fermi level is 14.00 states/eV/cell.